a | Density functional theory data (PBE+U) for a relaxed structure of Ca2Co3O8.

```
Ca2Co3O8
1.0
6.218 0.006 0.007
3.500 5.139 0.007
1.484 0.786 4.658
O Ca Co
8 2 3
Direct
0.878 0.317 0.612 O
0.683 0.122 0.388 O
0.604 0.604 0.033 O
0.317 0.878 0.612 O
0.122 0.683 0.388 O
0.096 0.096 0.096 O
0.396 0.396 0.967 O
0.904 0.904 0.904 O
0.277 0.277 0.671 Ca
0.723 0.723 0.329 Ca
0.000 0.000 0.500 Co
0.744 0.256 0.000 Co
0.256 0.744 0.000 Co
```

Values from the calculation:
Space group: C2/m
Mass density (Mg/m³): 4.30
Magnetic moment (μB/atom): 0.231

***

b | Density functional theory data (PBE+U) for a relaxed structure of Ca2Co3O8.

```
Ca2Co3O8
1.0
0.686 5.101 -2.775
-1.288 -0.075 5.703
10.206 -0.119 2.303
O Co Ca
16 6 4
Direct
0.000 0.000 0.842 O
0.667 0.333 0.650 O
0.522 0.044 0.843 O
0.698 0.849 0.658 O
0.151 0.849 0.658 O
0.478 0.522 0.343 O
0.151 0.302 0.658 O
0.000 0.000 0.342 O
0.849 0.698 0.158 O
0.956 0.478 0.843 O
0.522 0.478 0.843 O
0.478 0.956 0.343 O
0.302 0.151 0.158 O
0.849 0.151 0.158 O
0.044 0.522 0.343 O
0.333 0.667 0.150 O
0.671 0.836 0.246 Co
0.164 0.836 0.246 Co
0.836 0.671 0.746 Co
0.164 0.329 0.246 Co
0.329 0.164 0.746 Co
0.836 0.164 0.746 Co
0.333 0.667 0.524 Ca
0.667 0.333 0.435 Ca
0.333 0.667 0.935 Ca
0.667 0.333 0.024 Ca
```

Values from the calculation:
Space group: P6_3mc
Mass density (Mg/m³): 4.13
Magnetic moment (μB/atom): 0.232

***

Quick one: most stable of them? a

***

a | Density functional theory data (PBE+U) for a relaxed structure of CaCo2O4.

```
CaCo2O4
1.0
-4.933 1.455 -0.598
3.647 -1.316 3.431
2.676 9.384 0.754
O Ca Co
8 2 4
Direct
0.069 0.931 0.750 O
0.931 0.069 0.250 O
0.774 0.226 0.893 O
0.226 0.774 0.393 O
0.774 0.226 0.607 O
0.226 0.774 0.107 O
0.500 0.500 0.000 O
0.500 0.500 0.500 O
0.394 0.606 0.750 Ca
0.606 0.394 0.250 Ca
0.864 0.136 0.067 Co
0.864 0.136 0.433 Co
0.136 0.864 0.933 Co
0.136 0.864 0.567 Co
```

Values from the calculation:
Space group: Cmcm
Mass density (Mg/m³): 4.90
Magnetic moment (μB/atom): 1.143

***

b | Density functional theory data (PBE+U) for a relaxed structure of CaCo2O4.

```
CaCo2O4
1.0
-6.237 0.853 0.069
-1.098 -1.149 6.091
4.218 4.104 -2.234
Ca O Co
2 8 4
Direct
0.250 0.750 0.500 Ca
0.500 0.500 0.000 Ca
0.189 0.782 0.862 O
0.561 0.468 0.638 O
0.532 0.169 0.093 O
0.076 0.439 0.907 O
0.674 0.811 0.593 O
0.919 0.326 0.138 O
0.831 0.924 0.362 O
0.218 0.081 0.407 O
0.375 0.125 0.250 Co
0.875 0.625 0.750 Co
0.875 0.125 0.750 Co
0.875 0.125 0.250 Co
```

Values from the calculation:
Space group: I4_1/a
Mass density (Mg/m³): 4.61
Magnetic moment (μB/atom): 0.573

***

Quick one: most stable of them? b

***

a | Density functional theory data (PBE+U) for a relaxed structure of CaCo2O4.

```
CaCo2O4
1.0
6.046 -0.031 -0.036
-0.031 6.046 0.036
-2.992 -3.023 4.569
O Co Ca
8 4 2
Direct
0.732 0.215 0.996 O
0.281 0.265 0.496 O
0.241 0.195 0.967 O
0.268 0.785 0.004 O
0.719 0.735 0.504 O
0.272 0.726 0.467 O
0.759 0.805 0.033 O
0.728 0.274 0.533 O
0.500 0.000 0.000 Co
0.500 0.500 0.500 Co
0.859 0.109 0.750 Co
0.141 0.891 0.250 Co
0.000 0.500 0.500 Ca
0.500 0.500 0.000 Ca
```

Values from the calculation:
Space group: C2/c
Mass density (Mg/m³): 4.41
Magnetic moment (μB/atom): 0.859

***

b | Density functional theory data (PBE+U) for a relaxed structure of CaCo2O4.

```
CaCo2O4
1.0
6.016 0.000 0.000
3.008 5.210 0.000
3.008 1.737 4.912
O Co Ca
8 4 2
Direct
0.811 0.396 0.396 O
0.396 0.811 0.396 O
0.854 0.439 0.854 O
0.396 0.396 0.811 O
0.396 0.396 0.396 O
0.854 0.854 0.439 O
0.854 0.854 0.854 O
0.439 0.854 0.854 O
0.625 0.625 0.625 Co
0.625 0.125 0.625 Co
0.125 0.625 0.625 Co
0.625 0.625 0.125 Co
0.250 0.250 0.250 Ca
0.000 0.000 0.000 Ca
```

Values from the calculation:
Space group: Fd-3m
Mass density (Mg/m³): 4.79
DOS(E_F) (states/eV per atom): 0.00
Magnetic moment (μB/atom): 0.009

***

Quick one: most stable of them? b

***

a | Density functional theory data (PBE+U) for a relaxed structure of CaCo2O4.

```
CaCo2O4
1.0
-7.906 -5.433 2.381
1.901 -2.343 0.968
0.098 3.755 8.896
Ca Co O
4 8 16
Direct
0.602 0.716 0.252 Ca
0.102 0.284 0.252 Ca
0.398 0.716 0.752 Ca
0.898 0.284 0.752 Ca
0.862 0.764 0.434 Co
0.860 0.743 0.071 Co
0.138 0.764 0.934 Co
0.360 0.257 0.071 Co
0.640 0.257 0.571 Co
0.362 0.236 0.434 Co
0.638 0.236 0.934 Co
0.140 0.743 0.571 Co
0.275 0.247 0.607 O
0.429 0.221 0.248 O
0.725 0.247 0.107 O
0.273 0.194 0.895 O
0.071 0.779 0.748 O
0.227 0.806 0.395 O
0.727 0.194 0.395 O
0.773 0.806 0.895 O
0.775 0.753 0.607 O
0.497 0.639 0.494 O
0.503 0.639 0.994 O
0.003 0.361 0.994 O
0.225 0.753 0.107 O
0.997 0.361 0.494 O
0.571 0.221 0.748 O
0.929 0.779 0.248 O
```

Values from the calculation:
Space group: Pca2_1
Mass density (Mg/m³): 4.87
Magnetic moment (μB/atom): 0.857

***

b | Density functional theory data (PBE+U) for a relaxed structure of CaCo2O4.

```
CaCo2O4
1.0
1.483 6.739 0.895
-1.483 6.739 0.895
0.000 6.205 8.809
Co Ca O
4 2 8
Direct
0.884 0.884 0.387 Co
0.116 0.116 0.613 Co
0.373 0.373 0.874 Co
0.627 0.627 0.126 Co
0.263 0.263 0.237 Ca
0.737 0.737 0.763 Ca
0.691 0.691 0.451 O
0.190 0.190 0.965 O
0.078 0.078 0.273 O
0.309 0.309 0.549 O
0.555 0.555 0.772 O
0.810 0.810 0.035 O
0.922 0.922 0.727 O
0.445 0.445 0.228 O
```

Values from the calculation:
Space group: C2/m
Mass density (Mg/m³): 4.62
Magnetic moment (μB/atom): 0.285

***

Quick one: most stable of them? a

***

a | Density functional theory data (PBE+U) for a relaxed structure of CaCo2O4.

```
CaCo2O4
1.0
-3.871 -5.050 -1.016
-1.193 -4.845 4.076
-5.570 -1.270 2.980
Ca Co O
2 4 8
Direct
0.982 0.982 0.982 Ca
0.636 0.636 0.636 Ca
0.143 0.143 0.143 Co
0.632 0.632 0.141 Co
0.141 0.632 0.632 Co
0.632 0.141 0.632 Co
0.405 0.909 0.909 O
0.909 0.909 0.405 O
0.369 0.860 0.369 O
0.410 0.410 0.410 O
0.369 0.369 0.860 O
0.855 0.855 0.855 O
0.909 0.405 0.909 O
0.860 0.369 0.369 O
```

Values from the calculation:
Space group: R3m
Mass density (Mg/m³): 4.65
DOS(E_F) (states/eV per atom): 0.00
Magnetic moment (μB/atom): 0.000

***

b | Density functional theory data (PBE+U) for a relaxed structure of CaCo2O4.

```
CaCo2O4
1.0
1.388 -6.904 0.917
1.389 -6.675 -1.984
8.369 -2.643 -0.203
O Co Ca
8 4 2
Direct
0.230 0.230 0.636 O
0.770 0.770 0.364 O
0.058 0.058 0.090 O
0.132 0.132 0.297 O
0.427 0.427 0.389 O
0.942 0.942 0.910 O
0.573 0.573 0.611 O
0.868 0.868 0.703 O
0.836 0.836 0.519 Co
0.423 0.423 0.770 Co
0.164 0.164 0.481 Co
0.577 0.577 0.230 Co
0.615 0.615 0.843 Ca
0.385 0.385 0.157 Ca
```

Values from the calculation:
Space group: C2/m
Mass density (Mg/m³): 4.75
Magnetic moment (μB/atom): 0.002

***

Quick one: most stable of them? a

***

a | Density functional theory data (PBE+U) for a relaxed structure of CaCo2O4.

```
CaCo2O4
1.0
5.270 0.000 0.000
0.000 5.762 0.000
0.000 0.000 11.023
O Ca Co
16 4 8
Direct
0.143 0.253 0.644 O
0.857 0.753 0.144 O
0.857 0.753 0.856 O
0.352 0.500 0.845 O
0.857 0.247 0.144 O
0.655 0.500 0.664 O
0.655 0.500 0.336 O
0.648 0.000 0.655 O
0.345 0.000 0.836 O
0.352 0.500 0.155 O
0.143 0.747 0.644 O
0.143 0.253 0.356 O
0.345 0.000 0.164 O
0.857 0.247 0.856 O
0.143 0.747 0.356 O
0.648 0.000 0.345 O
0.659 0.500 0.000 Ca
0.059 0.000 0.000 Ca
0.341 0.000 0.500 Ca
0.941 0.500 0.500 Ca
0.500 0.750 0.250 Co
0.009 0.500 0.765 Co
0.500 0.750 0.750 Co
0.009 0.500 0.235 Co
0.991 0.000 0.265 Co
0.991 0.000 0.735 Co
0.500 0.250 0.250 Co
0.500 0.250 0.750 Co
```

Values from the calculation:
Space group: Pmmn
Mass density (Mg/m³): 4.40
Magnetic moment (μB/atom): 0.857

***

b | Density functional theory data (PBE+U) for a relaxed structure of CaCo2O4.

```
CaCo2O4
1.0
6.746 0.027 0.239
6.070 2.942 0.239
5.168 1.197 7.529
O Co Ca
8 4 2
Direct
0.864 0.864 0.689 O
0.543 0.543 0.683 O
0.239 0.239 0.617 O
0.156 0.156 0.018 O
0.136 0.136 0.311 O
0.844 0.844 0.982 O
0.761 0.761 0.383 O
0.457 0.457 0.317 O
0.144 0.144 0.523 Co
0.364 0.364 0.820 Co
0.856 0.856 0.477 Co
0.636 0.636 0.180 Co
0.351 0.351 0.160 Ca
0.649 0.649 0.840 Ca
```

Values from the calculation:
Space group: C2/m
Mass density (Mg/m³): 5.10
Magnetic moment (μB/atom): 0.000

***

c | Density functional theory data (PBE+U) for a relaxed structure of CaCo2O4.

```
CaCo2O4
1.0
-2.385 -0.979 1.404
2.800 -8.341 -1.060
5.080 0.559 9.017
O Co Ca
16 8 4
Direct
0.250 0.081 0.928 O
0.250 0.303 0.655 O
0.750 0.419 0.428 O
0.250 0.967 0.288 O
0.250 0.803 0.845 O
0.750 0.533 0.788 O
0.750 0.114 0.476 O
0.750 0.033 0.712 O
0.750 0.919 0.072 O
0.250 0.886 0.524 O
0.750 0.697 0.345 O
0.250 0.386 0.976 O
0.750 0.614 0.024 O
0.250 0.581 0.572 O
0.250 0.467 0.212 O
0.750 0.197 0.155 O
0.250 0.084 0.597 Co
0.750 0.944 0.889 Co
0.250 0.056 0.111 Co
0.250 0.584 0.903 Co
0.750 0.444 0.611 Co
0.750 0.916 0.403 Co
0.250 0.556 0.389 Co
0.750 0.416 0.097 Co
0.750 0.762 0.664 Ca
0.250 0.238 0.336 Ca
0.750 0.262 0.836 Ca
0.250 0.738 0.164 Ca
```

Values from the calculation:
Space group: Pnma
Mass density (Mg/m³): 5.47
Magnetic moment (μB/atom): 0.000

***

Quick one: most stable of them? c

***

a | Density functional theory data (PBE+U) for a relaxed structure of Ca3Co2O6.

```
Ca3Co2O6
1.0
-0.243 3.367 -1.166
-7.929 -0.500 1.273
-1.549 3.463 5.119
Co O Ca
2 6 3
Direct
0.266 0.569 0.422 Co
0.148 0.147 0.508 Co
0.434 0.151 0.222 O
0.230 0.538 0.722 O
0.154 0.121 0.809 O
0.445 0.763 0.163 O
0.856 0.915 0.596 O
0.987 0.378 0.431 O
0.247 0.789 0.824 Ca
0.631 0.317 0.838 Ca
0.908 0.964 0.216 Ca
```

Values from the calculation:
Space group: P1
Mass density (Mg/m³): 3.37
Magnetic moment (μB/atom): 0.001

***

b | Density functional theory data (PBE+U) for a relaxed structure of Ca3Co2O6.

```
Ca3Co2O6
1.0
6.348 0.001 0.001
-0.211 6.291 0.009
-0.247 -0.228 6.339
O Co Ca
12 4 6
Direct
0.397 0.536 0.213 O
0.475 0.790 0.598 O
0.713 0.036 0.897 O
0.525 0.210 0.402 O
0.943 0.083 0.287 O
0.098 0.290 0.975 O
0.057 0.917 0.713 O
0.603 0.464 0.787 O
0.213 0.417 0.557 O
0.902 0.710 0.025 O
0.287 0.964 0.103 O
0.787 0.583 0.443 O
0.728 0.750 0.772 Co
0.500 0.500 0.500 Co
0.272 0.250 0.228 Co
0.000 0.000 0.000 Co
0.621 0.877 0.258 Ca
0.242 0.623 0.879 Ca
0.108 0.750 0.392 Ca
0.892 0.250 0.608 Ca
0.379 0.123 0.742 Ca
0.758 0.377 0.121 Ca
```

Values from the calculation:
Space group: C2/c
Mass density (Mg/m³): 4.38
Magnetic moment (μB/atom): 0.180

***

Quick one: most stable of them? b